The following is a GGA-PBEsol calculation of a relaxed YNi3S crystal, from Alexandria via LeMat-Bulk.

Unit cell a=4.1908 b=4.1908 c=4.1908 alpha=90.00 beta=90.00 gamma=90.00
Closest atoms and distances in Å follow each position.
Positions (direct):
Y 0.0000 0.0000 0.0000  12 Ni 2.96
Ni 0.0000 0.5000 0.5000  2 S 2.10
Ni 0.5000 0.0000 0.5000  2 S 2.10
Ni 0.5000 0.5000 0.0000  2 S 2.10
S 0.5000 0.5000 0.5000  6 Ni 2.10

size of the total moment = 0.0 Bohr magnetons per cell
formation energy without anion corrections = -0.4124 eV per atom
theoretical density = 6.7 g/cm³

The following is a GGA-PBEsol calculation of a relaxed Zr3NiS crystal, from Alexandria via LeMat-Bulk.

Unit cell a=4.7729 b=4.7729 c=4.7729 alpha=90.00 beta=90.00 gamma=90.00
Closest atoms and distances in Å follow each position.
Positions (direct):
Zr 0.0000 0.0000 0.5000  2 Ni 2.39
Zr 0.0000 0.5000 0.0000  2 Ni 2.39
Zr 0.5000 0.0000 0.0000  2 Ni 2.39
Ni 0.0000 0.0000 0.0000  6 Zr 2.39
S 0.5000 0.5000 0.5000  12 Zr 3.37

size of the total moment = 0.0 Bohr magnetons per cell
formation energy without anion corrections = 0.2004 eV per atom
theoretical density = 5.6 g/cm³

The following is a GGA-PBEsol calculation of a relaxed ZrNiS2 crystal, from Alexandria via LeMat-Bulk.

Unit cell a=3.2656 b=3.2656 c=22.4849 alpha=90.00 beta=90.00 gamma=120.00
Closest atoms and distances in Å follow each position.
Positions (direct):
Zr 0.0000 0.0000 0.0000  2 S 2.51
Zr 0.3333 0.6667 0.6667  2 S 2.51
Zr 0.6667 0.3333 0.3333  2 S 2.51
Ni 0.0000 0.0000 0.5000  6 S 2.26
Ni 0.3333 0.6667 0.1667  6 S 2.26
Ni 0.6667 0.3333 0.8333  6 S 2.26
S 0.0000 0.0000 0.1116  3 Ni 2.26, 1 Zr 2.51
S 0.0000 0.0000 0.8884  3 Ni 2.26, 1 Zr 2.51
S 0.3333 0.6667 0.5551  3 Ni 2.26, 1 Zr 2.51
S 0.3333 0.6667 0.7782  3 Ni 2.26, 1 Zr 2.51
S 0.6667 0.3333 0.2218  3 Ni 2.26, 1 Zr 2.51
S 0.6667 0.3333 0.4449  3 Ni 2.26, 1 Zr 2.51

size of the total moment = 0.0 Bohr magnetons per cell
formation energy without anion corrections = -0.3877 eV per atom
theoretical density = 5.1 g/cm³

The following is a GGA-PBEsol calculation of a relaxed ZrNi3S crystal, from Alexandria via LeMat-Bulk.

Unit cell a=4.1198 b=4.1198 c=4.1198 alpha=90.00 beta=90.00 gamma=90.00
Closest atoms and distances in Å follow each position.
Positions (direct):
Zr 0.0000 0.0000 0.0000  12 Ni 2.91
Ni 0.0000 0.5000 0.5000  2 S 2.06
Ni 0.5000 0.0000 0.5000  2 S 2.06
Ni 0.5000 0.5000 0.0000  2 S 2.06
S 0.5000 0.5000 0.5000  6 Ni 2.06

size of the total moment = 0.0 Bohr magnetons per cell
formation energy without anion corrections = -0.1708 eV per atom
theoretical density = 7.1 g/cm³

Taking the records one at a time from the top gives electronic total energy values of -6.35, -7.36, -6.39, -6.56 eV per atom.